(1)
5
Lattice="-2.3202 1.1583 -5.8657 -5.0038 -3.8201 1.2249 -3.2727 5.0197 2.2858" Properties=species:S:1:pos:R:3 comment="Ba3AgGe | Alexandria via LeMat-Bulk | PBE-GGA | relaxed" de_polymorph_mev_per_atom=152 dos_at_fermi_per_ev_fu=5.8 energy_ev_per_atom=-2.72 spacegroup="Pm-3m, No. 221" pbc="T T T"
Ge 0.0000 0.0000 0.0000
Ba -2.5019 -1.9101 0.6125
Ba -1.6363 2.5098 1.1429
Ba -1.1601 0.5792 -2.9329
Ag -5.2984 1.1789 -1.1775

(2)
5
Lattice="-1.3374 -3.6632 -0.6258 2.0595 -1.2842 3.1159 -7.5570 -0.6084 7.2473" Properties=species:S:1:pos:R:3 comment="Ba2AgGe2 | Alexandria via LeMat-Bulk | PBE-GGA | relaxed" de_polymorph_mev_per_atom=210 dos_at_fermi_per_ev_fu=4.2 energy_ev_per_atom=-3.35 spacegroup="I4/mmm, No. 139" pbc="T T T"
Ge -4.2666 -3.3727 3.9333
Ge -2.5682 -2.1832 5.8041
Ba -1.3777 -2.0641 2.5631
Ba -5.4571 -3.4918 7.1743
Ag 0.0000 0.0000 0.0000

(3)
6
Lattice="-0.6728 0.1497 -4.5187 0.8461 -4.7186 -0.2823 -8.0104 -1.5047 1.1428" Properties=species:S:1:pos:R:3 comment="Ba2Ag3Ge | Alexandria via LeMat-Bulk | PBE-GGA | relaxed" de_polymorph_mev_per_atom=5 dos_at_fermi_per_ev_fu=3.6 energy_ev_per_atom=-3.15 spacegroup="Pmm2, No. 25" pbc="T T T"
Ba 0.3749 -2.3683 -0.1343
Ba -3.9799 -0.7476 0.5678
Ag -7.0499 -1.1862 -1.3016
Ag -1.8262 -0.2050 -2.0468
Ag -5.1270 -3.2638 -1.6567
Ge -2.4944 -2.7692 -2.0323

(4)
7
Lattice="-1.3711 3.8162 2.3210 -4.2760 -0.4755 -1.7441 0.3128 -3.8108 6.4505" Properties=species:S:1:pos:R:3 comment="BaAg4Ge2 | Alexandria via LeMat-Bulk | PBE-GGA | relaxed" dos_at_fermi_per_ev_fu=3.3 energy_ev_per_atom=-3.42 spacegroup="Cmmm, No. 65" pbc="T T T"
Ba 0.0000 0.0000 0.0000
Ag -3.9629 -0.8569 3.7707
Ag -2.8210 -1.7529 1.2156
Ag -1.3714 0.3868 3.2568
Ag -1.1421 -2.5335 3.4908
Ge -3.1585 0.9273 1.3123
Ge -2.1758 -1.3974 5.7151

(5)
8
Lattice="-3.0680 1.6146 3.8166 1.5107 -3.9861 2.9007 6.0279 3.8310 6.7077" Properties=species:S:1:pos:R:3 comment="BaAgGe2 | Alexandria via LeMat-Bulk | PBE-GGA | relaxed" de_polymorph_mev_per_atom=174 dos_at_fermi_per_ev_fu=1.8 energy_ev_per_atom=-3.71 spacegroup="I4_1/amd, No. 141" pbc="T T T"
Ge 0.5465 1.0644 3.4694
Ge 1.2996 -0.9275 4.9225
Ge 4.3152 0.9859 8.2760
Ge 2.7801 1.7961 10.1822
Ba 0.0000 0.0000 0.0000
Ba 1.0907 2.1299 6.9415
Ag -0.7786 -1.1858 3.3587
Ag 3.3800 -0.6705 6.4835

(6)
32
Lattice="4.6062 0.0000 0.0000 0.0000 11.7518 0.0000 0.0000 0.0000 15.1363" Properties=species:S:1:pos:R:3 comment="BaAgGe2 | Alexandria via LeMat-Bulk | PBE-GGA | relaxed" de_polymorph_mev_per_atom=0 dos_at_fermi_per_ev_fu=1.6 energy_ev_per_atom=-3.88 spacegroup="Pnma, No. 62" pbc="T T T"
Ba 3.4547 5.7581 10.6473
Ba 1.1516 11.6340 12.0572
Ba 1.1516 5.9936 4.4890
Ba 3.4547 0.1177 3.0791
Ba 3.4547 3.0147 14.3754
Ba 1.1516 8.8906 8.3290
Ba 1.1516 8.7370 0.7609
Ba 3.4547 2.8611 6.8073
Ag 3.4547 6.4941 14.2962
Ag 1.1516 0.6182 8.4082
Ag 1.1516 5.2577 0.8401
Ag 3.4547 11.1336 6.7281
Ag 3.4547 3.6132 2.9618
Ag 1.1516 9.4891 4.6064
Ag 1.1516 8.1385 12.1745
Ag 3.4547 2.2627 10.5299
Ge 3.4547 11.3496 14.6572
Ge 1.1516 5.4738 8.0472
Ge 1.1516 0.4021 0.4791
Ge 3.4547 6.2780 7.0891
Ge 3.4547 9.1229 13.3770
Ge 1.1516 3.2470 9.3275
Ge 1.1516 2.6288 1.7593
Ge 3.4547 8.5047 5.8088
Ge 3.4547 9.1868 10.8197
Ge 1.1516 3.3109 11.8847
Ge 1.1516 2.5649 4.3166
Ge 3.4547 8.4408 3.2516
Ge 3.4547 11.4308 9.5088
Ge 1.1516 5.5550 13.1956
Ge 1.1516 0.3209 5.6275
Ge 3.4547 6.1968 1.9407

(7)
5
Lattice="-2.8378 -5.8094 -0.4503 5.8230 -2.8094 -0.4528 1.6210 -4.6770 3.4819" Properties=species:S:1:pos:R:3 comment="Ba2Ag2Ge | Alexandria via LeMat-Bulk | PBE-GGA | relaxed" de_polymorph_mev_per_atom=133 dos_at_fermi_per_ev_fu=0.0 energy_ev_per_atom=-3.04 spacegroup="I4/mmm, No. 139" pbc="T T T"
Ge 0.0000 0.0000 0.0000
Ba 0.1379 -7.3979 1.2900
Ba 4.4683 -5.8979 1.2888
Ag 1.5357 -4.4328 0.8686
Ag 3.0705 -8.8630 1.7103

(8)
19
Lattice="-0.1161 -3.2091 6.8898 -0.0193 -5.9999 -4.6670 7.1350 2.5614 -0.5587" Properties=species:S:1:pos:R:3 comment="BaAg12Ge6 | Alexandria via LeMat-Bulk | PBE-GGA | relaxed" dos_at_fermi_per_ev_fu=5.7 energy_ev_per_atom=-3.26 spacegroup="R-3m, No. 166" pbc="T T T"
Ba 0.0000 0.0000 0.0000
Ag 3.4631 -2.2674 5.2067
Ag 3.9491 -4.5921 2.6923
Ag 5.7873 -3.1293 0.8042
Ag 3.0259 -1.3481 1.9012
Ag 1.2123 -3.5184 0.8598
Ag 3.0504 -2.0556 -1.0284
Ag 6.2446 -1.1395 -1.9875
Ag 0.7916 -6.5646 -0.7232
Ag 3.5364 -4.3802 -3.5427
Ag 0.7550 -5.5082 3.6515
Ag 6.2079 -0.0831 2.3871
Ag 3.9737 -5.2995 -0.2373
Ge 1.6532 -3.0546 3.4865
Ge 4.8959 -0.4740 0.1555
Ge 1.6965 -4.3026 -1.6817
Ge 2.1036 -6.1737 1.5085
Ge 5.3463 -3.5931 -1.8225
Ge 5.3030 -2.3451 3.3457

(9)
5
Lattice="-0.9420 -2.8378 4.9507 5.4775 -1.8563 -0.0218 1.5997 4.6852 2.9899" Properties=species:S:1:pos:R:3 comment="BaAgGe3 | Alexandria via LeMat-Bulk | PBE-GGA | relaxed" dos_at_fermi_per_ev_fu=5.4 energy_ev_per_atom=-2.31 spacegroup="Pm-3m, No. 221" pbc="T T T"
Ge 2.7388 -0.9281 -0.0109
Ge 0.7998 2.3426 1.4950
Ge -0.4710 -1.4189 2.4753
Ba 0.0000 0.0000 0.0000
Ag 3.0676 -0.0044 3.9594

(10)
9
Lattice="4.6594 0.0000 0.0000 0.0000 4.6594 0.0000 0.0000 0.0000 8.7851" Properties=species:S:1:pos:R:3 comment="BaAg6Ge2 | Alexandria via LeMat-Bulk | PBE-GGA | relaxed" dos_at_fermi_per_ev_fu=1.8 energy_ev_per_atom=-3.29 spacegroup="P4/mmm, No. 123" pbc="T T T"
Ba 0.0000 0.0000 0.0000
Ag 0.0000 2.3297 2.6746
Ag 2.3297 0.0000 2.6746
Ag 0.0000 2.3297 6.1105
Ag 2.3297 0.0000 6.1105
Ag 2.3297 2.3297 4.3925
Ag 0.0000 0.0000 4.3925
Ge 2.3297 2.3297 1.3187
Ge 2.3297 2.3297 7.4664

(11)
5
Lattice="4.6750 0.0122 0.0028 -0.0160 4.6749 0.0028 -2.3094 -2.3233 5.3933" Properties=species:S:1:pos:R:3 comment="BaAg2Ge2 | Alexandria via LeMat-Bulk | PBE-GGA | relaxed" dos_at_fermi_per_ev_fu=1.7 energy_ev_per_atom=-3.70 spacegroup="C2/m, No. 12" pbc="T T T"
Ge -0.0049 -0.0049 4.1246
Ge 2.3545 2.3687 1.2743
Ba 0.0000 0.0000 0.0000
Ag 0.0208 2.3290 2.6995
Ag 2.3288 0.0348 2.6995

(12)
18
Lattice="-6.3183 0.1117 1.3325 0.8923 -4.4411 4.6033 1.4724 6.9302 6.4006" Properties=species:S:1:pos:R:3 comment="BaAg4Ge4 | Alexandria via LeMat-Bulk | PBE-GGA | relaxed" dos_at_fermi_per_ev_fu=3.3 energy_ev_per_atom=-3.60 spacegroup="P4_2/nmc, No. 137" pbc="T T T"
Ba 0.0000 0.0000 0.0000
Ba -1.9768 1.3004 6.1682
Ag 0.2348 3.5046 7.8660
Ag -3.2388 3.5659 8.5985
Ag -2.2063 -2.1552 5.3695
Ag -2.6969 0.2863 2.8388
Ag 1.1218 -0.9854 5.4020
Ag 0.7201 1.0141 3.3294
Ag -0.7393 4.7260 4.7028
Ag -3.5840 4.7763 5.3027
Ge -1.1345 2.6768 10.0468
Ge -1.6691 5.3372 7.2891
Ge -4.4444 -1.3727 4.0676
Ge -0.6593 -1.4396 3.2693
Ge -1.3175 2.7400 2.8989
Ge -3.8507 2.7848 3.4331
Ge 1.1646 2.8934 5.2796
Ge 1.5224 1.1128 7.1253

How do the records compare in energy of formation from the pure elements? In the order shown, they have -7; -16; -30; -19; -20; -37; -20; 9; 137; -14; -32; -6 kJ/mol of atoms.